# 1
## VGaSn (PBE)

Data for an optimized crystal structure of VGaSn.

Summary:
- energy of formation from the pure elements (eV per atom) = 0.296
- distance to the lowest polymorph of the same formula (eV per atom) = 0.365

a = 4.5612 Å, b = 4.5612 Å, c = 3.0448 Å
α = 90.00°, β = 90.00°, γ = 120.00°
With the nearest neighbours (Å) after each atom.
Space group P3m1 (No. 156)
Inequivalent atoms, fractional coordinates:
V (0.0000, 0.0000, 0.0000) x1  3 Ga 2.63
Ga (0.6667, 0.3333, 0.9969) x1  3 V 2.63
Sn (0.3333, 0.6667, 0.4990) x1  6 Ga 3.04-3.05, 6 V 3.04, 2 Sn 3.04

=====

# 2
## YMgOs2 (PBE)

Data for an optimized crystal structure of YMgOs2.

Summary:
- energy of formation from the pure elements (eV per atom) = 0.306

a = 4.1374 Å, b = 4.1374 Å, c = 4.1575 Å
α = 90.00°, β = 90.00°, γ = 90.00°
With the nearest neighbours (Å) after each atom.
Space group P4/mmm (No. 123)
Inequivalent atoms, fractional coordinates:
Y (0.0000, 0.0000, 0.0000) x1  4 Mg 2.93, 8 Os 2.93
Mg (0.5000, 0.5000, 0.0000) x1  4 Y 2.93, 8 Os 2.93
Os (0.0000, 0.5000, 0.5000) x2  4 Os 2.93, 4 Mg 2.93, 4 Y 2.93